Entry 1:
Computed, not measured: a PBEsol-optimized structure of SrSeN2O at the SCAN level of DFT.

Lattice parameters (Å, degrees): 4.208 4.208 3.971 90.00 90.00 90.00
Space group P4/mmm (No. 123)
Asymmetric unit:
Sr 0.000 0.000 0.000 (multiplicity 1)
Se 0.500 0.500 0.000 (multiplicity 1)
N 0.000 0.500 0.500 (multiplicity 2)
O 0.500 0.500 0.500 (multiplicity 1)

## Properties
For the total magnetization, the calculation gives 2.98 Bohr magnetons per cell. For the energy, the calculation gives -0.9124 Ry/atom. Its formation energy from raw total energies is 1.02 eV per atom.


Entry 2:
Computed, not measured: a PBEsol-optimized structure of TaSeN2O at the SCAN level of DFT.

Lattice parameters (Å, degrees): 3.851 3.851 5.384 90.00 90.00 90.00
Space group P4/mmm (No. 123)
Asymmetric unit:
Ta 0.000 0.000 0.000 (multiplicity 1)
Se 0.000 0.000 0.500 (multiplicity 1)
N 0.000 0.500 0.000 (multiplicity 2)
O 0.500 0.500 0.500 (multiplicity 1)

## Properties
For the total magnetization, the calculation gives 1.03 Bohr magnetons per cell. For the energy, the calculation gives -1.5841 Ry/atom. Its formation energy from raw total energies is 0.74 eV per atom.


Entry 3:
Computed, not measured: a PBEsol-optimized structure of TiSeN2O at the SCAN level of DFT.

Lattice parameters (Å, degrees): 3.777 3.777 3.700 90.00 90.00 90.00
Space group P4/mmm (No. 123)
Asymmetric unit:
Ti 0.000 0.000 0.000 (multiplicity 1)
Se 0.500 0.500 0.500 (multiplicity 1)
N 0.000 0.500 0.500 (multiplicity 2)
O 0.500 0.500 0.000 (multiplicity 1)

## Properties
For the total magnetization, the calculation gives 1.00 Bohr magnetons per cell. For the energy, the calculation gives -0.8577 Ry/atom. Its formation energy from raw total energies is 0.52 eV per atom.


Entry 4:
Computed, not measured: a PBEsol-optimized structure of TiSeN2O at the SCAN level of DFT.

Lattice parameters (Å, degrees): 3.676 3.676 5.399 90.00 90.00 90.00
Space group P4/mmm (No. 123)
Asymmetric unit:
Ti 0.000 0.000 0.000 (multiplicity 1)
Se 0.000 0.000 0.500 (multiplicity 1)
N 0.000 0.500 0.000 (multiplicity 2)
O 0.500 0.500 0.500 (multiplicity 1)

## Properties
For the total magnetization, the calculation gives 0.76 Bohr magnetons per cell. For the energy, the calculation gives -0.8377 Ry/atom. Its formation energy from raw total energies is 0.79 eV per atom.


Entry 5:
Computed, not measured: a PBEsol-optimized structure of TlSeN2O at the SCAN level of DFT.

Lattice parameters (Å, degrees): 4.235 4.235 4.039 90.00 90.00 90.00
Space group P4/mmm (No. 123)
Asymmetric unit:
Tl 0.000 0.000 0.000 (multiplicity 1)
Se 0.500 0.500 0.500 (multiplicity 1)
N 0.000 0.500 0.000 (multiplicity 2)
O 0.000 0.000 0.500 (multiplicity 1)

## Properties
For the total magnetization, the calculation gives 1.73 Bohr magnetons per cell. For the energy, the calculation gives -1.5737 Ry/atom. Its formation energy from raw total energies is 2.04 eV per atom.


Entry 6:
Computed, not measured: a PBEsol-optimized structure of WSeN2O at the SCAN level of DFT.

Lattice parameters (Å, degrees): 3.804 3.804 3.674 90.00 90.00 90.00
Space group P4/mmm (No. 123)
Asymmetric unit:
W 0.000 0.000 0.000 (multiplicity 1)
Se 0.500 0.500 0.000 (multiplicity 1)
N 0.000 0.500 0.500 (multiplicity 2)
O 0.500 0.500 0.500 (multiplicity 1)

## Properties
For the total magnetization, the calculation gives 0.00 Bohr magnetons per cell. For the energy, the calculation gives -1.5299 Ry/atom. Its formation energy from raw total energies is 2.10 eV per atom.